First-principles (PBE) data for a relaxed structure of PrTlPd, as listed in OQMD.

* E_tot: -4.731 eV/atom
* magnetic moment: 0.0 μB per formula unit

Unit cell a=14.001 b=3.939 c=8.023 alpha=90.00 beta=90.00 gamma=90.00
Positions (direct):
Pd 0.250 0.500 0.049
Pd 0.594 0.000 0.440
Pd 0.906 0.000 0.440
Pd 0.094 0.000 0.560
Pd 0.406 0.000 0.560
Pd 0.750 0.500 0.951
Pr 0.049 0.500 0.268
Pr 0.451 0.500 0.268
Pr 0.750 0.500 0.349
Pr 0.250 0.500 0.651
Pr 0.549 0.500 0.732
Pr 0.951 0.500 0.732
Tl 0.616 0.000 0.074
Tl 0.884 0.000 0.074
Tl 0.250 0.000 0.310
Tl 0.750 0.000 0.690
Tl 0.116 0.000 0.926
Tl 0.384 0.000 0.926